Entry 1:
# Rb2Hg3Se4 PBE relaxed
# DFT total energy in Ry per atom: -0.17975
# V in Å³ per cell: 1122.5
data_Rb2Hg3Se4
_space_group_name_H-M_alt 'I b a m'
_space_group_IT_number 72
_space_group_name_Hall '-I 2 2c'
_cell_length_a 6.538
_cell_length_b 11.798
_cell_length_c 14.553
_cell_angle_alpha 90.00
_cell_angle_beta 90.00
_cell_angle_gamma 90.00
loop_
_atom_site_label
_atom_site_fract_x
_atom_site_fract_y
_atom_site_fract_z
_atom_site_occupancy
Rb1 0.229 0.120 0.000 1
Hg1 0.000 0.166 0.250 1
Hg2 0.000 0.500 0.250 1
Se1 0.223 0.368 0.133 1

Entry 2:
# RbHg2Se PBE relaxed
# DFT total energy in Ry per atom: -0.12938
# V in Å³ per cell: 297.9
data_RbHg2Se
_space_group_name_H-M_alt 'P 1'
_space_group_IT_number 1
_space_group_name_Hall 'P 1'
_cell_length_a 6.708
_cell_length_b 6.860
_cell_length_c 7.532
_cell_angle_alpha 63.09
_cell_angle_beta 76.21
_cell_angle_gamma 89.93
loop_
_atom_site_label
_atom_site_fract_x
_atom_site_fract_y
_atom_site_fract_z
_atom_site_occupancy
Rb1 0.000 0.000 0.000 1
Rb2 0.481 0.536 0.928 1
Hg1 0.236 0.091 0.463 1
Hg2 0.489 0.734 0.345 1
Hg3 0.739 0.268 0.464 1
Hg4 0.998 0.606 0.584 1
Se1 0.544 0.080 0.837 1
Se2 0.934 0.453 0.092 1

Entry 3:
# Rb2Hg2Se3 PBE relaxed
# DFT total energy in Ry per atom: -0.15880
# Energy above the lowest structure with this stoichiometry in eV/atom: 0.0108
# V in Å³ per cell: 661.7
data_Rb2Hg2Se3
_space_group_name_H-M_alt 'R -3 m'
_space_group_IT_number 166
_space_group_name_Hall '-R 3 2"'
_cell_length_a 6.3204
_cell_length_b 6.3204
_cell_length_c 19.1273
_cell_angle_alpha 90.00
_cell_angle_beta 90.00
_cell_angle_gamma 120.00
loop_
_atom_site_label
_atom_site_fract_x
_atom_site_fract_y
_atom_site_fract_z
_atom_site_occupancy
Rb1 0.0000 0.0000 0.0000 1
Rb2 0.0000 0.0000 0.5000 1
Hg1 0.0000 0.0000 0.1934 1
Se1 0.0000 0.5000 0.0000 1

Entry 4:
# RbSnHg3Se4 PBE relaxed
# DFT total energy in Ry per atom: -0.17929
# V in Å³ per cell: 343.4
data_RbSnHg3Se4
_space_group_name_H-M_alt 'P -4 3 m'
_space_group_IT_number 215
_space_group_name_Hall 'P -4 2 3'
_cell_length_a 7.003
_cell_length_b 7.003
_cell_length_c 7.003
_cell_angle_alpha 90.00
_cell_angle_beta 90.00
_cell_angle_gamma 90.00
loop_
_atom_site_label
_atom_site_fract_x
_atom_site_fract_y
_atom_site_fract_z
_atom_site_occupancy
Rb1 0.000 0.000 0.000 1
Sn1 0.500 0.500 0.500 1
Hg1 0.000 0.500 0.500 1
Se1 0.276 0.276 0.276 1

Copy entry 1 word for word.
# Rb2Hg3Se4 PBE relaxed
# DFT total energy in Ry per atom: -0.17975
# V in Å³ per cell: 1122.5
data_Rb2Hg3Se4
_space_group_name_H-M_alt 'I b a m'
_space_group_IT_number 72
_space_group_name_Hall '-I 2 2c'
_cell_length_a 6.538
_cell_length_b 11.798
_cell_length_c 14.553
_cell_angle_alpha 90.00
_cell_angle_beta 90.00
_cell_angle_gamma 90.00
loop_
_atom_site_label
_atom_site_fract_x
_atom_site_fract_y
_atom_site_fract_z
_atom_site_occupancy
Rb1 0.229 0.120 0.000 1
Hg1 0.000 0.166 0.250 1
Hg2 0.000 0.500 0.250 1
Se1 0.223 0.368 0.133 1

Copy entry 3 word for word.
# Rb2Hg2Se3 PBE relaxed
# DFT total energy in Ry per atom: -0.15880
# Energy above the lowest structure with this stoichiometry in eV/atom: 0.0108
# V in Å³ per cell: 661.7
data_Rb2Hg2Se3
_space_group_name_H-M_alt 'R -3 m'
_space_group_IT_number 166
_space_group_name_Hall '-R 3 2"'
_cell_length_a 6.3204
_cell_length_b 6.3204
_cell_length_c 19.1273
_cell_angle_alpha 90.00
_cell_angle_beta 90.00
_cell_angle_gamma 120.00
loop_
_atom_site_label
_atom_site_fract_x
_atom_site_fract_y
_atom_site_fract_z
_atom_site_occupancy
Rb1 0.0000 0.0000 0.0000 1
Rb2 0.0000 0.0000 0.5000 1
Hg1 0.0000 0.0000 0.1934 1
Se1 0.0000 0.5000 0.0000 1

Please write out number 4 again, unchanged.
# RbSnHg3Se4 PBE relaxed
# DFT total energy in Ry per atom: -0.17929
# V in Å³ per cell: 343.4
data_RbSnHg3Se4
_space_group_name_H-M_alt 'P -4 3 m'
_space_group_IT_number 215
_space_group_name_Hall 'P -4 2 3'
_cell_length_a 7.003
_cell_length_b 7.003
_cell_length_c 7.003
_cell_angle_alpha 90.00
_cell_angle_beta 90.00
_cell_angle_gamma 90.00
loop_
_atom_site_label
_atom_site_fract_x
_atom_site_fract_y
_atom_site_fract_z
_atom_site_occupancy
Rb1 0.000 0.000 0.000 1
Sn1 0.500 0.500 0.500 1
Hg1 0.000 0.500 0.500 1
Se1 0.276 0.276 0.276 1

Question: Which of these has the lowest DFT total energy?
Answer: Rb2Hg3Se4